Entry from the Alexandria database: FeNiN2 after structural relaxation (PBE).

Cell lengths 6.068, 6.068, 6.068 Å; angles 25.77, 25.77, 25.77 degrees
Fractional positions:
Ni1 0.000 0.000 0.000
N1 0.102 0.102 0.102
N2 0.898 0.898 0.898
Fe1 0.500 0.500 0.500

Results
Fermi-level density of states = 2.779 states/eV/cell
Uncorrected formation energy = 1.2 eV per formula unit